PaTc2Ir: relaxed, PBE.

a = 4.5169 Å, b = 4.5169 Å, c = 4.7221 Å
α = 61.43°, β = 61.43°, γ = 60.00°
Fractional coordinates of all 4 atoms:
Pa 0.5000 0.5000 0.5000
Tc 0.2251 0.2251 0.3248
Tc 0.7749 0.7749 0.6752
Ir 0.0000 0.0000 0.0000

Computed properties:
Its crystal system is trigonal. The calculation puts the excess energy over the best structure of this formula in the dataset at 0.273 eV per atom.

LaPmSiPd: relaxed, PBE.

a = 5.1814 Å, b = 5.1814 Å, c = 5.1814 Å
α = 60.00°, β = 60.00°, γ = 60.00°
Fractional coordinates of all 4 atoms:
Si 0.7500 0.7500 0.7500
La 0.0000 0.0000 0.0000
Pd 0.2500 0.2500 0.2500
Pm 0.5000 0.5000 0.5000

Computed properties:
Its crystal system is cubic. The calculation puts the excess energy over the best structure of this formula in the dataset at 0.118 eV per atom. Its raw formation energy is -61.7 kJ per mole of atoms.

Ac2CuTcO6: relaxed, PBE.

a = 5.8484 Å, b = 5.8484 Å, c = 9.8761 Å
α = 72.78°, β = 72.78°, γ = 60.00°
Fractional coordinates of all 20 atoms:
Ac 0.8704 0.8704 0.3888
Ac 0.1296 0.1296 0.6112
Ac 0.7290 0.7290 0.8131
Ac 0.2710 0.2710 0.1869
Cu 0.6136 0.6136 0.1592
Cu 0.3864 0.3864 0.8408
Tc 0.0000 0.0000 0.0000
Tc 0.5000 0.5000 0.5000
O 0.8817 0.3658 0.3867
O 0.3658 0.8817 0.3867
O 0.3658 0.3658 0.3867
O 0.1183 0.6342 0.6133
O 0.6342 0.1183 0.6133
O 0.6342 0.6342 0.6133
O 0.7453 0.1941 0.8666
O 0.1941 0.7453 0.8666
O 0.1941 0.1941 0.8666
O 0.2547 0.8059 0.1334
O 0.8059 0.2547 0.1334
O 0.8059 0.8059 0.1334

Computed properties:
Its crystal system is trigonal. Its raw formation energy is -209.8 kJ per mole of atoms.

PrHoCdAg: relaxed, PBE.

a = 5.3140 Å, b = 5.3140 Å, c = 5.3140 Å
α = 60.00°, β = 60.00°, γ = 60.00°
Fractional coordinates of all 4 atoms:
Pr 0.7500 0.7500 0.7500
Ho 0.2500 0.2500 0.2500
Ag 0.0000 0.0000 0.0000
Cd 0.5000 0.5000 0.5000

Computed properties:
Its crystal system is cubic. The calculation puts the excess energy over the best structure of this formula in the dataset at 0.018 eV per atom.

BaTlHg2Pt: relaxed, PBE.

a = 4.6011 Å, b = 4.7459 Å, c = 7.2990 Å
α = 108.97°, β = 108.37°, γ = 90.00°
Fractional coordinates of all 5 atoms:
Ba 0.4291 0.4291 0.8582
Tl 0.2005 0.7005 0.4011
Hg 0.7045 0.2045 0.4091
Hg 0.0443 0.0443 0.0886
Pt 0.8337 0.8337 0.6674

Computed properties:
Its crystal system is orthorhombic. The calculation puts the excess energy over the best structure of this formula in the dataset at 0.000 eV per atom.

Ce3HoTh: relaxed, PBE.

a = 3.5175 Å, b = 6.1956 Å, c = 14.2097 Å
α = 96.47°, β = 88.69°, γ = 70.44°
Fractional coordinates of all 10 atoms:
Ce 0.1717 0.7067 0.4460
Ce 0.4710 0.2839 0.0156
Ce 0.0013 0.9824 0.1369
Ce 0.8283 0.2933 0.5540
Ce 0.9987 0.0176 0.8631
Ce 0.5290 0.7161 0.9844
Ho 0.2268 0.4542 0.7676
Ho 0.7732 0.5458 0.2324
Th 0.5648 0.8708 0.6517
Th 0.4352 0.1292 0.3483

Computed properties:
The value obtained for the total energy is -5.89 eV/atom. Its crystal system is triclinic.

| no. | density of states at the Fermi level (states/eV/atom) | V (Å³ per cell) |
| --- | --- | --- |
| 1 | 1.403 | 70 |
| 2 | 0.471 | 98 |
| 3 | 0.327 | 275 |
| 4 | 0.849 | 106 |
| 5 | 0.523 | 142 |
| 6 | 2.676 | 289 |